## Dy2InCo2 (PBE-GGA)

Data for crystalline Dy2InCo2 at its relaxed geometry.

Computed properties:
- calculated total energy (eV/atom) = -5.521
- space-group type = P4/mbm
- spin magnetization (μB/cell) = 2.63
- DOS at the Fermi energy (states/eV/cell) = 16.48
- energy relative to the elements (eV per atom) = -0.290

The structure in extended XYZ format:
```
20
Lattice="7.095 0.000 0.000 0.000 7.095 0.000 0.000 0.000 7.884" Properties=species:S:1:pos:R:3 pbc="T T T"
Co 2.752 6.300 5.913
Co 6.300 4.343 5.913
Co 4.343 0.795 1.971
Co 4.343 0.795 5.913
Co 0.795 2.752 5.913
Co 6.300 4.343 1.971
Co 2.752 6.300 1.971
Co 0.795 2.752 1.971
Dy 1.271 4.818 3.942
Dy 4.818 5.824 3.942
Dy 5.825 2.277 0.000
Dy 2.277 1.271 3.942
Dy 4.818 5.825 0.000
Dy 5.824 2.277 3.942
Dy 2.277 1.270 0.000
Dy 1.270 4.818 0.000
In 3.548 3.548 5.914
In 3.548 3.548 1.970
In 0.000 0.000 5.912
In 0.000 0.000 1.972
```